Version a
Compound: FeTcGe3
Source: Alexandria via LeMat-Bulk
Functional: PBE
Structure: optimized geometry

a = 4.7300 Å, b = 4.7300 Å, c = 4.7300 Å
α = 90.00°, β = 90.00°, γ = 90.00°
Last column: nearest neighbours and their distance in Å.
Fractional coordinates of all 5 atoms:
Fe (0.0000, 0.0000, 0.0000)  12 Ge 3.34
Tc (0.5000, 0.5000, 0.5000)  6 Ge 2.36
Ge (0.0000, 0.5000, 0.5000)  2 Tc 2.36
Ge (0.5000, 0.0000, 0.5000)  2 Tc 2.36
Ge (0.5000, 0.5000, 0.0000)  2 Tc 2.36

Output
Theoretical density ... 5.8 g/cm3
V ... 105.8 Å³/cell
Size of the total moment ... 3.09 Bohr magnetons per cell

Version b
Compound: FeTcGe3
Source: Alexandria via LeMat-Bulk
Functional: PBE
Structure: optimized geometry

a = 7.1560 Å, b = 7.1560 Å, c = 7.1560 Å
α = 44.23°, β = 44.23°, γ = 44.23°
Last column: nearest neighbours and their distance in Å.
Fractional coordinates of all 10 atoms:
Fe (0.1706, 0.1706, 0.1706)  6 Ge 2.33-2.40
Fe (0.8294, 0.8294, 0.8294)  6 Ge 2.33-2.40
Tc (0.3314, 0.3314, 0.3314)  6 Ge 2.48-2.57
Tc (0.6686, 0.6686, 0.6686)  6 Ge 2.48-2.57
Ge (0.1138, 0.3970, 0.7573)  2 Fe 2.33-2.40, 2 Tc 2.48-2.57
Ge (0.2427, 0.8862, 0.6030)  2 Fe 2.33-2.40, 2 Tc 2.48-2.57
Ge (0.3970, 0.7573, 0.1138)  2 Fe 2.33-2.40, 2 Tc 2.48-2.57
Ge (0.6030, 0.2427, 0.8862)  2 Fe 2.33-2.40, 2 Tc 2.48-2.57
Ge (0.7573, 0.1138, 0.3970)  2 Fe 2.33-2.40, 2 Tc 2.48-2.57
Ge (0.8862, 0.6030, 0.2427)  2 Fe 2.33-2.40, 2 Tc 2.48-2.57

Output
Theoretical density ... 7.6 g/cm3
V ... 162.0 Å³/cell
Size of the total moment ... 0.00 Bohr magnetons per cell

Most stable to least stable, the ends of the list are version b and version a.

Version a
Compound: FeTc2Ge2
Source: Alexandria via LeMat-Bulk
Functional: PBE
Structure: optimized geometry

a = 6.8475 Å, b = 6.8475 Å, c = 3.1965 Å
α = 90.00°, β = 90.00°, γ = 90.00°
Last column: nearest neighbours and their distance in Å.
Fractional coordinates of all 10 atoms:
Fe (0.0000, 0.0000, 0.0000)  4 Tc 2.64
Fe (0.5000, 0.5000, 0.0000)  4 Tc 2.64
Tc (0.1406, 0.3594, 0.0000)  6 Ge 2.51-2.61, 2 Fe 2.64, 1 Tc 2.72
Tc (0.3594, 0.8594, 0.0000)  6 Ge 2.51-2.61, 2 Fe 2.64, 1 Tc 2.72
Tc (0.6406, 0.1406, 0.0000)  6 Ge 2.51-2.61, 2 Fe 2.64, 1 Tc 2.72
Tc (0.8594, 0.6406, 0.0000)  6 Ge 2.51-2.61, 2 Fe 2.64, 1 Tc 2.72
Ge (0.1601, 0.6601, 0.5000)  6 Tc 2.51-2.61
Ge (0.3399, 0.1601, 0.5000)  6 Tc 2.51-2.61
Ge (0.6601, 0.8399, 0.5000)  6 Tc 2.51-2.61
Ge (0.8399, 0.3399, 0.5000)  6 Tc 2.51-2.61

Output
Theoretical density ... 8.8 g/cm3
V ... 149.9 Å³/cell
Size of the total moment ... 0.02 Bohr magnetons per cell

Version b
Compound: FeTc2Ge2
Source: Alexandria via LeMat-Bulk
Functional: PBE
Structure: optimized geometry

a = 6.8522 Å, b = 6.8522 Å, c = 3.1243 Å
α = 90.00°, β = 90.00°, γ = 90.00°
Last column: nearest neighbours and their distance in Å.
Fractional coordinates of all 10 atoms:
Fe (0.0000, 0.0000, 0.0000)  4 Ge 2.62
Fe (0.5000, 0.5000, 0.0000)  4 Ge 2.62
Tc (0.1516, 0.3484, 0.5000)  6 Ge 2.50-2.57
Tc (0.3484, 0.8484, 0.5000)  6 Ge 2.50-2.57
Tc (0.6516, 0.1516, 0.5000)  6 Ge 2.50-2.57
Tc (0.8484, 0.6516, 0.5000)  6 Ge 2.50-2.57
Ge (0.1467, 0.6467, 0.0000)  6 Tc 2.50-2.57, 2 Fe 2.62
Ge (0.3533, 0.1467, 0.0000)  6 Tc 2.50-2.57, 2 Fe 2.62
Ge (0.6467, 0.8533, 0.0000)  6 Tc 2.50-2.57, 2 Fe 2.62
Ge (0.8533, 0.3533, 0.0000)  6 Tc 2.50-2.57, 2 Fe 2.62

Output
Theoretical density ... 9.0 g/cm3
V ... 146.7 Å³/cell
Size of the total moment ... 7.01 Bohr magnetons per cell

Most stable to least stable, the ends of the list are version b and version a.

Version a
Compound: FeTc2Ge4
Source: Alexandria via LeMat-Bulk
Functional: PBE
Structure: optimized geometry

a = 6.9492 Å, b = 6.9492 Å, c = 6.9492 Å
α = 141.81°, β = 141.81°, γ = 55.12°
Last column: nearest neighbours and their distance in Å.
Fractional coordinates of all 7 atoms:
Fe (0.0000, 0.0000, 0.0000)  6 Ge 2.27-2.37
Tc (0.3933, 0.3933, 0.0000)  5 Ge 2.47-2.63, 1 Tc 2.63
Tc (0.6067, 0.6067, 0.0000)  5 Ge 2.47-2.63, 1 Tc 2.63
Ge (0.0000, 0.5000, 0.5000)  2 Fe 2.27
Ge (0.1924, 0.1924, 0.0000)  1 Fe 2.37, 1 Tc 2.47
Ge (0.5000, 0.0000, 0.5000)  2 Fe 2.27
Ge (0.8076, 0.8076, 0.0000)  1 Fe 2.37, 1 Tc 2.47

Output
Theoretical density ... 7.1 g/cm3
V ... 127.4 Å³/cell
Size of the total moment ... 4.10 Bohr magnetons per cell

Version b
Compound: FeTc2Ge4
Source: Alexandria via LeMat-Bulk
Functional: PBE
Structure: optimized geometry

a = 6.9850 Å, b = 6.9850 Å, c = 5.5275 Å
α = 111.94°, β = 111.94°, γ = 26.19°
Last column: nearest neighbours and their distance in Å.
Fractional coordinates of all 7 atoms:
Fe (0.0000, 0.0000, 0.0000)  6 Ge 2.32-2.36
Tc (0.2488, 0.2488, 0.2532)  6 Ge 2.48-2.60
Tc (0.7512, 0.7512, 0.7468)  6 Ge 2.48-2.60
Ge (0.1136, 0.1136, 0.7772)  1 Fe 2.32, 3 Tc 2.51-2.57
Ge (0.3933, 0.3933, 0.6963)  2 Fe 2.36, 3 Tc 2.48-2.60
Ge (0.6067, 0.6067, 0.3037)  2 Fe 2.36, 3 Tc 2.48-2.60
Ge (0.8864, 0.8864, 0.2228)  1 Fe 2.32, 3 Tc 2.51-2.57

Output
Theoretical density ... 8.2 g/cm3
V ... 109.9 Å³/cell
Size of the total moment ... 0.52 Bohr magnetons per cell

Most stable to least stable, the ends of the list are version b and version a.

Version a
Compound: FeTcGe4
Source: Alexandria via LeMat-Bulk
Functional: PBE
Structure: optimized geometry

a = 6.7224 Å, b = 6.7224 Å, c = 6.7224 Å
α = 126.74°, β = 126.74°, γ = 78.68°
Last column: nearest neighbours and their distance in Å.
Fractional coordinates of all 12 atoms:
Fe (0.0000, 0.0000, 0.0000)  2 Tc 2.60, 8 Ge 2.65
Fe (0.5000, 0.5000, 0.0000)  2 Tc 2.60, 8 Ge 2.65
Tc (0.2500, 0.2500, 0.0000)  2 Fe 2.60, 8 Ge 2.62
Tc (0.7500, 0.7500, 0.0000)  2 Fe 2.60, 8 Ge 2.62
Ge (0.0229, 0.5229, 0.8010)  2 Ge 2.57-2.65, 2 Tc 2.62, 2 Fe 2.65
Ge (0.2219, 0.0229, 0.5000)  2 Ge 2.57-2.65, 2 Tc 2.62, 2 Fe 2.65
Ge (0.2781, 0.7781, 0.8010)  2 Ge 2.57-2.65, 2 Tc 2.62, 2 Fe 2.65
Ge (0.4771, 0.2781, 0.5000)  2 Ge 2.57-2.65, 2 Tc 2.62, 2 Fe 2.65
Ge (0.5229, 0.7219, 0.5000)  2 Ge 2.57-2.65, 2 Tc 2.62, 2 Fe 2.65
Ge (0.7219, 0.2219, 0.1990)  2 Ge 2.57-2.65, 2 Tc 2.62, 2 Fe 2.65
Ge (0.7781, 0.9771, 0.5000)  2 Ge 2.57-2.65, 2 Tc 2.62, 2 Fe 2.65
Ge (0.9771, 0.4771, 0.1990)  2 Ge 2.57-2.65, 2 Tc 2.62, 2 Fe 2.65

Output
Theoretical density ... 7.8 g/cm3
V ... 188.8 Å³/cell
Size of the total moment ... 4.42 Bohr magnetons per cell

Version b
Compound: FeTcGe4
Source: Alexandria via LeMat-Bulk
Functional: PBE
Structure: optimized geometry

a = 5.4887 Å, b = 5.8653 Å, c = 6.8661 Å
α = 90.00°, β = 90.00°, γ = 90.00°
Last column: nearest neighbours and their distance in Å.
Fractional coordinates of all 12 atoms:
Fe (0.0000, 0.0000, 0.0000)  6 Ge 2.34-2.48
Fe (0.0000, 0.5000, 0.5000)  6 Ge 2.34-2.48
Tc (0.5000, 0.0000, 0.8259)  6 Ge 2.43-2.47
Tc (0.5000, 0.5000, 0.3259)  6 Ge 2.43-2.47
Ge (0.1527, 0.2376, 0.7268)  2 Fe 2.34-2.48, 1 Tc 2.46
Ge (0.1527, 0.2624, 0.2268)  2 Fe 2.34-2.48, 1 Tc 2.46
Ge (0.3274, 0.7302, 0.5946)  1 Fe 2.34, 2 Tc 2.43-2.47
Ge (0.3274, 0.7698, 0.0946)  1 Fe 2.34, 2 Tc 2.43-2.47
Ge (0.6726, 0.2302, 0.0946)  1 Fe 2.34, 2 Tc 2.43-2.47
Ge (0.6726, 0.2698, 0.5946)  1 Fe 2.34, 2 Tc 2.43-2.47
Ge (0.8473, 0.7376, 0.2268)  2 Fe 2.34-2.48, 1 Tc 2.46
Ge (0.8473, 0.7624, 0.7268)  2 Fe 2.34-2.48, 1 Tc 2.46

Output
Theoretical density ... 6.7 g/cm3
V ... 221.0 Å³/cell
Size of the total moment ... 0.00 Bohr magnetons per cell

Most stable to least stable, the ends of the list are version a and version b.

Version a
Compound: Fe2Ge2Te
Source: Alexandria via LeMat-Bulk
Functional: PBE
Structure: optimized geometry

a = 6.4327 Å, b = 6.4327 Å, c = 6.4327 Å
α = 146.77°, β = 146.77°, γ = 47.71°
Last column: nearest neighbours and their distance in Å.
Fractional coordinates of all 5 atoms:
Fe (0.1130, 0.1130, 0.0000)  4 Ge 2.45, 1 Fe 2.66
Fe (0.8870, 0.8870, 0.0000)  4 Ge 2.45, 1 Fe 2.66
Ge (0.2500, 0.7500, 0.5000)  4 Fe 2.45, 4 Ge 2.60
Ge (0.7500, 0.2500, 0.5000)  4 Fe 2.45, 4 Ge 2.60
Te (0.5000, 0.5000, 0.0000)  8 Fe 2.92

Output
Theoretical density ... 8.0 g/cm3
V ... 79.6 Å³/cell
Size of the total moment ... 2.04 Bohr magnetons per cell

Version b
Compound: Fe2Ge2Te
Source: Alexandria via LeMat-Bulk
Functional: PBE
Structure: optimized geometry

a = 7.1853 Å, b = 7.1853 Å, c = 2.9024 Å
α = 90.00°, β = 90.00°, γ = 90.00°
Last column: nearest neighbours and their distance in Å.
Fractional coordinates of all 10 atoms:
Fe (0.1512, 0.3488, 0.0000)  6 Ge 2.53-2.59, 2 Te 2.73
Fe (0.3488, 0.8488, 0.0000)  6 Ge 2.53-2.59, 2 Te 2.73
Fe (0.6512, 0.1512, 0.0000)  6 Ge 2.53-2.59, 2 Te 2.73
Fe (0.8488, 0.6512, 0.0000)  6 Ge 2.53-2.59, 2 Te 2.73
Ge (0.1376, 0.6376, 0.5000)  6 Fe 2.53-2.59, 1 Ge 2.80
Ge (0.3624, 0.1376, 0.5000)  6 Fe 2.53-2.59, 1 Ge 2.80
Ge (0.6376, 0.8624, 0.5000)  6 Fe 2.53-2.59, 1 Ge 2.80
Ge (0.8624, 0.3624, 0.5000)  6 Fe 2.53-2.59, 1 Ge 2.80
Te (0.0000, 0.0000, 0.0000)  4 Fe 2.73, 2 Te 2.90
Te (0.5000, 0.5000, 0.0000)  4 Fe 2.73, 2 Te 2.90

Output
Theoretical density ... 8.5 g/cm3
V ... 149.8 Å³/cell
Size of the total moment ... 0.00 Bohr magnetons per cell

Most stable to least stable, the ends of the list are version b and version a.

Version a
Compound: Fe3GeTe
Source: Alexandria via LeMat-Bulk
Functional: PBE
Structure: optimized geometry

a = 4.7017 Å, b = 4.7017 Å, c = 4.7017 Å
α = 90.00°, β = 90.00°, γ = 90.00°
Last column: nearest neighbours and their distance in Å.
Fractional coordinates of all 5 atoms:
Fe (0.0000, 0.0000, 0.5000)  2 Te 2.35
Fe (0.0000, 0.5000, 0.0000)  2 Te 2.35
Fe (0.5000, 0.0000, 0.0000)  2 Te 2.35
Ge (0.5000, 0.5000, 0.5000)  12 Fe 3.32
Te (0.0000, 0.0000, 0.0000)  6 Fe 2.35

Output
Theoretical density ... 5.9 g/cm3
V ... 103.9 Å³/cell
Size of the total moment ... 6.53 Bohr magnetons per cell

Version b
Compound: Fe3GeTe
Source: Alexandria via LeMat-Bulk
Functional: PBE
Structure: optimized geometry

a = 4.3671 Å, b = 4.3671 Å, c = 4.3671 Å
α = 90.00°, β = 90.00°, γ = 90.00°
Last column: nearest neighbours and their distance in Å.
Fractional coordinates of all 5 atoms:
Fe (0.0000, 0.0000, 0.5000)  2 Ge 2.18
Fe (0.0000, 0.5000, 0.0000)  2 Ge 2.18
Fe (0.5000, 0.0000, 0.0000)  2 Ge 2.18
Ge (0.0000, 0.0000, 0.0000)  6 Fe 2.18
Te (0.5000, 0.5000, 0.5000)  12 Fe 3.09

Output
Theoretical density ... 7.3 g/cm3
V ... 83.3 Å³/cell
Size of the total moment ... 5.98 Bohr magnetons per cell

Most stable to least stable, the ends of the list are version b and version a.